[1]
NaAlSe2O8 | GGA-PBE | optimized geometry

Unit cell a=5.3070 b=5.3070 c=6.7364 alpha=90.00 beta=90.00 gamma=120.00
Space group P-3m1 (No. 164)
Symmetry-distinct sites (fractional):
Na 0.0000 0.0000 0.0000
Al 0.0000 0.0000 0.5000
Se 0.3333 0.6667 0.2440
O 0.1610 0.3221 0.3231
O 0.3333 0.6667 0.0020

- Formation energy (no corrections): -1.242 eV/atom
- E_tot: -5.55 eV/atom

[2]
NaAlSi2O6 | GGA-PBE | optimized geometry

Unit cell a=10.059 b=10.361 c=5.443 alpha=90.00 beta=114.13 gamma=90.00
Space group C2/c (No. 15)
Symmetry-distinct sites (fractional):
Na 0.000 0.113 0.250
Al 0.000 0.216 0.750
Si 0.199 0.419 0.170
O 0.096 0.292 0.058
O 0.126 0.111 0.700
O 0.165 0.481 0.417

- Formation energy (no corrections): -2.740 eV/atom
- E_tot: -7.31 eV/atom

[3]
Na2AlSiO4 | GGA-PBE | optimized geometry

Unit cell a=6.418 b=6.418 c=5.167 alpha=90.00 beta=90.00 gamma=90.00
Space group I-42m (No. 121)
Symmetry-distinct sites (fractional):
Na 0.000 0.500 0.000
Al 0.000 0.000 0.000
Si 0.000 0.000 0.500
O 0.136 0.136 0.275

- Formation energy (no corrections): -1.976 eV/atom
- E_tot: -5.93 eV/atom

[4]
Na4Al3Si3O12 | GGA-PBE | optimized geometry

Unit cell a=8.971 b=8.971 c=8.971 alpha=90.00 beta=90.00 gamma=90.00
Space group P-43n (No. 218)
Symmetry-distinct sites (fractional):
Na 0.178 0.178 0.178
Al 0.000 0.250 0.500
Si 0.000 0.500 0.250
O 0.063 0.361 0.649

- Formation energy (no corrections): -2.620 eV/atom
- E_tot: -6.81 eV/atom

Question: Look up the E_tot of the second one.
Answer: -7.31 eV/atom

Question: Which formula does entry 1 have?
Answer: NaAlSe2O8

Question: formation energy (no corrections) of number 2 (NaAlSi2O6)?
Answer: -2.740 eV/atom